Entry from Alexandria via LeMat-Bulk: a relaxed Ac2CdPd crystal (PBE-GGA).

Geometry as POSCAR:
```
Ac2CdPd
1.0
7.882 0.000 0.000
0.000 7.882 0.000
0.000 0.000 7.882
Ac Cd Pd
8 4 4
Direct
0.250 0.250 0.250
0.250 0.250 0.750
0.250 0.750 0.250
0.250 0.750 0.750
0.750 0.250 0.250
0.750 0.250 0.750
0.750 0.750 0.250
0.750 0.750 0.750
0.000 0.000 0.000
0.000 0.500 0.500
0.500 0.000 0.500
0.500 0.500 0.000
0.000 0.000 0.500
0.000 0.500 0.000
0.500 0.000 0.000
0.500 0.500 0.500
```

- Symmetry: Fm-3m, No. 225
- ΔH_f (0 K): -0.4511 eV per atom
- Calculated density: 9.1 g/cm3
- DFT total energy: -64.5 eV/cell
- Total magnetic moment: 0.00 Bohr magnetons per cell
- E above lowest polymorph: 76 meV/atom



Entry from Alexandria via LeMat-Bulk: a relaxed Ac2CdPd crystal (PBE-GGA).

Geometry as POSCAR:
```
Ac2CdPd
1.0
3.890 0.000 0.000
0.000 3.890 0.000
0.000 0.000 8.096
Ac Cd Pd
2 1 1
Direct
0.000 0.000 0.226
0.000 0.000 0.774
0.500 0.500 0.500
0.500 0.500 0.000
```

- Symmetry: P4/mmm, No. 123
- ΔH_f (0 K): -0.5053 eV per atom
- Calculated density: 9.1 g/cm3
- DFT total energy: -16.3 eV/cell
- Total magnetic moment: 0.00 Bohr magnetons per cell
- E above lowest polymorph: 22 meV/atom



Entry from Alexandria via LeMat-Bulk: a relaxed AcCd3Pd2 crystal (PBE-GGA).

Geometry as POSCAR:
```
AcCd3Pd2
1.0
8.408 -2.186 0.000
8.408 2.186 0.000
-4.364 0.000 7.752
Ac Cd Pd
2 6 4
Direct
0.139 0.139 0.074
0.861 0.861 0.926
0.037 0.037 0.379
0.318 0.318 0.537
0.388 0.388 0.277
0.612 0.612 0.723
0.682 0.682 0.463
0.963 0.963 0.621
0.209 0.209 0.700
0.486 0.486 0.839
0.514 0.514 0.161
0.791 0.791 0.300
```

- Symmetry: C2/m, No. 12
- ΔH_f (0 K): -0.4666 eV per atom
- Calculated density: 9.1 g/cm3
- DFT total energy: -40.1 eV/cell
- Total magnetic moment: 0.00 Bohr magnetons per cell
- E above lowest polymorph: 63 meV/atom



Entry from Alexandria via LeMat-Bulk: a relaxed Ac4Cd5Pd2 crystal (PBE-GGA).

Geometry as POSCAR:
```
Ac4Cd5Pd2
1.0
7.957 0.000 0.000
0.000 4.151 0.000
-0.771 0.000 9.979
Ac Cd Pd
4 5 2
Direct
0.172 0.000 0.358
0.237 0.000 0.942
0.763 0.000 0.058
0.828 0.000 0.642
0.189 0.500 0.653
0.449 0.500 0.191
0.500 0.500 0.500
0.551 0.500 0.809
0.811 0.500 0.347
0.068 0.500 0.138
0.932 0.500 0.862
```

- Symmetry: P2/m, No. 10
- ΔH_f (0 K): -0.4686 eV per atom
- Calculated density: 8.5 g/cm3
- DFT total energy: -36.5 eV/cell
- Total magnetic moment: 0.00 Bohr magnetons per cell



Entry from Alexandria via LeMat-Bulk: a relaxed Ac5Cd4Pd crystal (PBE-GGA).

Geometry as POSCAR:
```
Ac5Cd4Pd
1.0
4.006 0.000 0.000
0.000 4.006 0.000
0.000 0.000 20.272
Ac Cd Pd
5 4 1
Direct
0.000 0.000 0.000
0.000 0.000 0.205
0.000 0.000 0.412
0.000 0.000 0.588
0.000 0.000 0.795
0.500 0.500 0.103
0.500 0.500 0.306
0.500 0.500 0.694
0.500 0.500 0.897
0.500 0.500 0.500
```

- Symmetry: P4/mmm, No. 123
- ΔH_f (0 K): -0.3795 eV per atom
- Calculated density: 8.6 g/cm3
- DFT total energy: -33.2 eV/cell
- Total magnetic moment: 0.00 Bohr magnetons per cell



Entry from Alexandria via LeMat-Bulk: a relaxed Ac3Cd2Pd4 crystal (PBE-GGA).

Geometry as POSCAR:
```
Ac3Cd2Pd4
1.0
6.268 -2.212 0.000
6.268 2.212 0.000
-4.123 0.000 8.375
Ac Cd Pd
3 2 4
Direct
0.000 0.000 0.000
0.366 0.366 0.298
0.634 0.634 0.702
0.330 0.330 0.658
0.670 0.670 0.342
0.071 0.071 0.416
0.294 0.294 0.936
0.706 0.706 0.064
0.929 0.929 0.584
```

- Symmetry: C2/m, No. 12
- ΔH_f (0 K): -0.6978 eV per atom
- Calculated density: 9.5 g/cm3
- DFT total energy: -41.2 eV/cell
- Total magnetic moment: 0.00 Bohr magnetons per cell
- E above lowest polymorph: 0 meV/atom



Entry from Alexandria via LeMat-Bulk: a relaxed Ac3Cd7Pd4 crystal (PBE-GGA).

Geometry as POSCAR:
```
Ac3Cd7Pd4
1.0
8.441 -2.271 0.000
8.441 2.271 0.000
-5.910 0.000 8.867
Ac Cd Pd
3 7 4
Direct
0.000 0.000 0.000
0.303 0.303 0.292
0.697 0.697 0.708
0.000 0.000 0.500
0.160 0.160 0.428
0.324 0.324 0.989
0.488 0.488 0.697
0.512 0.512 0.303
0.676 0.676 0.011
0.840 0.840 0.572
0.112 0.112 0.822
0.340 0.340 0.741
0.660 0.660 0.259
0.888 0.888 0.178
```

- Symmetry: C2/m, No. 12
- ΔH_f (0 K): -0.5248 eV per atom
- Calculated density: 9.2 g/cm3
- DFT total energy: -46.9 eV/cell
- Total magnetic moment: 0.00 Bohr magnetons per cell



Entry from Alexandria via LeMat-Bulk: a relaxed AcCd11Pd crystal (PBE-GGA).

Geometry as POSCAR:
```
AcCd11Pd
1.0
2.886 -7.190 0.000
2.886 7.190 0.000
-2.812 0.000 7.171
Ac Cd Pd
1 11 1
Direct
0.000 0.000 0.000
0.000 0.000 0.500
0.000 0.500 0.000
0.021 0.366 0.361
0.291 0.504 0.779
0.366 0.021 0.361
0.496 0.709 0.221
0.500 0.000 0.000
0.504 0.291 0.779
0.634 0.979 0.639
0.709 0.496 0.221
0.979 0.634 0.639
0.500 0.500 0.500
```

- Symmetry: C2/m, No. 12
- ΔH_f (0 K): -0.2007 eV per atom
- Calculated density: 8.8 g/cm3
- DFT total energy: -22.0 eV/cell
- Total magnetic moment: 0.00 Bohr magnetons per cell



Entry from Alexandria via LeMat-Bulk: a relaxed AcCd2Pd8 crystal (PBE-GGA).

Geometry as POSCAR:
```
AcCd2Pd8
1.0
7.357 -2.119 0.000
7.357 2.119 0.000
-1.738 0.000 6.294
Ac Cd Pd
1 2 8
Direct
0.000 0.000 0.000
0.275 0.275 0.351
0.725 0.725 0.649
0.094 0.094 0.473
0.185 0.185 0.914
0.356 0.356 0.800
0.457 0.457 0.286
0.543 0.543 0.714
0.644 0.644 0.200
0.815 0.815 0.086
0.906 0.906 0.527
```

- Symmetry: C2/m, No. 12
- ΔH_f (0 K): -0.4129 eV per atom
- Calculated density: 11.0 g/cm3
- DFT total energy: -52.0 eV/cell
- Total magnetic moment: 0.00 Bohr magnetons per cell



Entry from Alexandria via LeMat-Bulk: a relaxed Ac6CdPd4 crystal (PBE-GGA).

Geometry as POSCAR:
```
Ac6CdPd4
1.0
2.192 -7.439 0.000
2.192 7.439 0.000
0.000 0.000 22.773
Ac Cd Pd
12 2 8
Direct
0.000 0.000 0.000
0.000 0.000 0.500
0.162 0.838 0.750
0.270 0.730 0.083
0.270 0.730 0.417
0.460 0.540 0.658
0.460 0.540 0.842
0.540 0.460 0.158
0.540 0.460 0.342
0.730 0.270 0.583
0.730 0.270 0.917
0.838 0.162 0.250
0.160 0.840 0.250
0.840 0.160 0.750
0.094 0.906 0.623
0.094 0.906 0.877
0.363 0.637 0.541
0.363 0.637 0.959
0.637 0.363 0.041
0.637 0.363 0.459
0.906 0.094 0.123
0.906 0.094 0.377
```

- Symmetry: Cmcm, No. 63
- ΔH_f (0 K): -0.6093 eV per atom
- Calculated density: 8.5 g/cm3
- DFT total energy: -106.1 eV/cell
- Total magnetic moment: 0.00 Bohr magnetons per cell



Entry from Alexandria via LeMat-Bulk: a relaxed Ac3CdPd2 crystal (PBE-GGA).

Geometry as POSCAR:
```
Ac3CdPd2
1.0
4.125 2.381 6.681
-4.125 2.381 6.681
0.000 -4.763 6.681
Ac Cd Pd
6 2 4
Direct
0.036 0.750 0.464
0.250 0.536 0.964
0.464 0.036 0.750
0.536 0.964 0.250
0.750 0.464 0.036
0.964 0.250 0.536
0.000 0.000 0.000
0.500 0.500 0.500
0.144 0.144 0.144
0.356 0.356 0.356
0.644 0.644 0.644
0.856 0.856 0.856
```

- Symmetry: R-3c, No. 167
- ΔH_f (0 K): -0.5346 eV per atom
- Calculated density: 8.5 g/cm3
- DFT total energy: -53.7 eV/cell
- Total magnetic moment: 0.00 Bohr magnetons per cell



Entry from Alexandria via LeMat-Bulk: a relaxed Ac3Cd4Pd2 crystal (PBE-GGA).

Geometry as POSCAR:
```
Ac3Cd4Pd2
1.0
6.257 -2.267 0.000
6.257 2.267 0.000
-4.303 0.000 8.934
Ac Cd Pd
3 4 2
Direct
0.000 0.000 0.000
0.312 0.312 0.369
0.688 0.688 0.631
0.013 0.013 0.349
0.258 0.258 0.917
0.742 0.742 0.083
0.987 0.987 0.651
0.386 0.386 0.734
0.614 0.614 0.266
```

- Symmetry: C2/m, No. 12
- ΔH_f (0 K): -0.5037 eV per atom
- Calculated density: 8.8 g/cm3
- DFT total energy: -30.9 eV/cell
- Total magnetic moment: 0.00 Bohr magnetons per cell



Please write out number 10 again, unchanged.
Entry from Alexandria via LeMat-Bulk: a relaxed Ac6CdPd4 crystal (PBE-GGA).

Geometry as POSCAR:
```
Ac6CdPd4
1.0
2.192 -7.439 0.000
2.192 7.439 0.000
0.000 0.000 22.773
Ac Cd Pd
12 2 8
Direct
0.000 0.000 0.000
0.000 0.000 0.500
0.162 0.838 0.750
0.270 0.730 0.083
0.270 0.730 0.417
0.460 0.540 0.658
0.460 0.540 0.842
0.540 0.460 0.158
0.540 0.460 0.342
0.730 0.270 0.583
0.730 0.270 0.917
0.838 0.162 0.250
0.160 0.840 0.250
0.840 0.160 0.750
0.094 0.906 0.623
0.094 0.906 0.877
0.363 0.637 0.541
0.363 0.637 0.959
0.637 0.363 0.041
0.637 0.363 0.459
0.906 0.094 0.123
0.906 0.094 0.377
```

- Symmetry: Cmcm, No. 63
- ΔH_f (0 K): -0.6093 eV per atom
- Calculated density: 8.5 g/cm3
- DFT total energy: -106.1 eV/cell
- Total magnetic moment: 0.00 Bohr magnetons per cell



Please write out number 10 again, unchanged.
Entry from Alexandria via LeMat-Bulk: a relaxed Ac6CdPd4 crystal (PBE-GGA).

Geometry as POSCAR:
```
Ac6CdPd4
1.0
2.192 -7.439 0.000
2.192 7.439 0.000
0.000 0.000 22.773
Ac Cd Pd
12 2 8
Direct
0.000 0.000 0.000
0.000 0.000 0.500
0.162 0.838 0.750
0.270 0.730 0.083
0.270 0.730 0.417
0.460 0.540 0.658
0.460 0.540 0.842
0.540 0.460 0.158
0.540 0.460 0.342
0.730 0.270 0.583
0.730 0.270 0.917
0.838 0.162 0.250
0.160 0.840 0.250
0.840 0.160 0.750
0.094 0.906 0.623
0.094 0.906 0.877
0.363 0.637 0.541
0.363 0.637 0.959
0.637 0.363 0.041
0.637 0.363 0.459
0.906 0.094 0.123
0.906 0.094 0.377
```

- Symmetry: Cmcm, No. 63
- ΔH_f (0 K): -0.6093 eV per atom
- Calculated density: 8.5 g/cm3
- DFT total energy: -106.1 eV/cell
- Total magnetic moment: 0.00 Bohr magnetons per cell